This record from the Alexandria database describes a geometry-optimized LiCu2Pt2 structure. The functional is PBE.

Unit cell a=7.408 b=7.408 c=2.730 alpha=90.00 beta=90.00 gamma=90.00
Space group P4/mbm (No. 127)
Symmetry-distinct sites (fractional):
1 Li 0.000 0.000 0.000 [2 per cell]
2 Cu 0.124 0.376 0.000 [4 per cell]
3 Pt 0.173 0.673 0.500 [4 per cell]

## Properties
- Energy of formation from the pure elements: -0.180 eV/atom
- Total moment: 0.00 μB per formula unit
- Final energy: -4.618 eV per atom
- Energy relative to the lowest polymorph listed for this composition: 0.000 eV/atom


This record from the Alexandria database describes a geometry-optimized LiTlNO2 structure. The functional is PBE.

Unit cell a=3.803 b=3.803 c=4.000 alpha=90.00 beta=90.00 gamma=90.00
Space group P4/mmm (No. 123)
Symmetry-distinct sites (fractional):
1 Li 0.000 0.000 0.000 [1 per cell]
2 Tl 0.500 0.500 0.500 [1 per cell]
3 N 0.000 0.000 0.500 [1 per cell]
4 O 0.000 0.500 0.000 [2 per cell]

## Properties
- Total moment: 3.45 μB per formula unit
- Final energy: -3.967 eV per atom
- Uncorrected formation energy: 0.537 eV per atom


Which formula does entry 2 have? LiTlNO2